Cs2CdNiP2 | PBE-GGA | optimized geometry

Structure (CIF):
```
data_Cs2CdNiP2
_space_group_name_H-M_alt 'P -4 m 2'
_space_group_IT_number 115
_space_group_name_Hall 'P -4 -2'
_cell_length_a 4.2540
_cell_length_b 4.2540
_cell_length_c 11.6246
_cell_angle_alpha 90.00
_cell_angle_beta 90.00
_cell_angle_gamma 90.00
loop_
_atom_site_label
_atom_site_type_symbol
_atom_site_fract_x
_atom_site_fract_y
_atom_site_fract_z
Cs1 Cs 0.0000 0.5000 0.2292
Cd1 Cd 0.5000 0.5000 0.5000
Ni1 Ni 0.0000 0.0000 0.5000
P1 P 0.0000 0.5000 0.6140
```

Results
The uncorrected energy comes out at -20.0 eV/cell. Its crystal system is tetragonal.

---

CsNpCdTe3 | PBE-GGA | optimized geometry

Structure (CIF):
```
data_CsNpCdTe3
_space_group_name_H-M_alt 'C m c m'
_space_group_IT_number 63
_space_group_name_Hall '-C 2c 2'
_cell_length_a 4.6047
_cell_length_b 17.2092
_cell_length_c 11.8804
_cell_angle_alpha 90.00
_cell_angle_beta 90.00
_cell_angle_gamma 90.00
loop_
_atom_site_label
_atom_site_type_symbol
_atom_site_fract_x
_atom_site_fract_y
_atom_site_fract_z
Cs1 Cs 0.0000 0.2494 0.2500
Np1 Np 0.0000 0.5000 0.0000
Cd1 Cd 0.0000 0.0362 0.7500
Te1 Te 0.0000 0.1219 0.5475
Te2 Te 0.0000 0.4335 0.7500
```

Results
The uncorrected energy comes out at -114.8 eV/cell. Its crystal system is orthorhombic.

---

Cs2Cd2O5 | PBE-GGA | optimized geometry

Structure (CIF):
```
data_Cs2Cd2O5
_space_group_name_H-M_alt 'P 4/m m m'
_space_group_IT_number 123
_space_group_name_Hall '-P 4 2'
_cell_length_a 4.1739
_cell_length_b 4.1739
_cell_length_c 9.8848
_cell_angle_alpha 90.00
_cell_angle_beta 90.00
_cell_angle_gamma 90.00
loop_
_atom_site_label
_atom_site_type_symbol
_atom_site_fract_x
_atom_site_fract_y
_atom_site_fract_z
Cs1 Cs 0.0000 0.0000 0.0000
Cs2 Cs 0.0000 0.0000 0.5000
Cd1 Cd 0.5000 0.5000 0.2233
O1 O 0.0000 0.5000 0.2727
O2 O 0.5000 0.5000 0.0000
```

Results
Its crystal system is tetragonal. As for the relative energy among the computed polymorphs: 0.0 meV per atom.

---

Cs6Cd2O5 | PBE-GGA | optimized geometry

Structure (CIF):
```
data_Cs6Cd2O5
_space_group_name_H-M_alt 'C 1 m 1'
_space_group_IT_number 8
_space_group_name_Hall 'C -2y'
_cell_length_a 7.6024
_cell_length_b 12.6152
_cell_length_c 7.4641
_cell_angle_alpha 90.00
_cell_angle_beta 92.27
_cell_angle_gamma 90.00
loop_
_atom_site_label
_atom_site_type_symbol
_atom_site_fract_x
_atom_site_fract_y
_atom_site_fract_z
Cs1 Cs 0.0000 0.0000 0.0000
Cs2 Cs 0.1380 0.2913 0.8188
Cs3 Cs 0.1395 0.2625 0.3243
Cs4 Cs 0.2953 0.0000 0.6380
Cd1 Cd 0.3456 0.5000 0.5138
Cd2 Cd 0.4280 0.0000 0.1467
O1 O 0.0826 0.5000 0.3945
O2 O 0.3179 0.1414 0.0357
O3 O 0.4622 0.3550 0.5961
```

Results
The uncorrected energy comes out at -90.6 eV/cell. Its crystal system is monoclinic.

---

Cs2Cd2O5 | PBE-GGA | optimized geometry

Structure (CIF):
```
data_Cs2Cd2O5
_space_group_name_H-M_alt 'P 4/m m m'
_space_group_IT_number 123
_space_group_name_Hall '-P 4 2'
_cell_length_a 4.4533
_cell_length_b 4.4533
_cell_length_c 8.8701
_cell_angle_alpha 90.00
_cell_angle_beta 90.00
_cell_angle_gamma 90.00
loop_
_atom_site_label
_atom_site_type_symbol
_atom_site_fract_x
_atom_site_fract_y
_atom_site_fract_z
Cs1 Cs 0.0000 0.0000 0.1996
Cd1 Cd 0.5000 0.5000 0.0000
Cd2 Cd 0.5000 0.5000 0.5000
O1 O 0.0000 0.0000 0.5000
O2 O 0.0000 0.5000 0.1615
```

Results
Its crystal system is tetragonal. As for the relative energy among the computed polymorphs: 759.9 meV per atom.

---

Cs2Cd3O4 | PBE-GGA | optimized geometry

Structure (CIF):
```
data_Cs2Cd3O4
_space_group_name_H-M_alt 'P n m a'
_space_group_IT_number 62
_space_group_name_Hall '-P 2ac 2n'
_cell_length_a 12.9037
_cell_length_b 9.4442
_cell_length_c 5.9528
_cell_angle_alpha 90.00
_cell_angle_beta 90.00
_cell_angle_gamma 90.00
loop_
_atom_site_label
_atom_site_type_symbol
_atom_site_fract_x
_atom_site_fract_y
_atom_site_fract_z
Cs1 Cs 0.0000 0.0000 0.0000
Cs2 Cs 0.0295 0.2500 0.4834
Cd1 Cd 0.2138 0.7500 0.2325
Cd2 Cd 0.2466 0.5870 0.6871
O1 O 0.1477 0.5412 0.3912
O2 O 0.1580 0.2500 0.9790
O3 O 0.1586 0.7500 0.8915
```

Results
Its crystal system is orthorhombic. As for the relative energy among the computed polymorphs: 0.0 meV per atom.

---

Cs2Cd3O4 | PBE-GGA | optimized geometry

Structure (CIF):
```
data_Cs2Cd3O4
_space_group_name_H-M_alt 'P 4 m m'
_space_group_IT_number 99
_space_group_name_Hall 'P 4 -2'
_cell_length_a 3.2909
_cell_length_b 3.2909
_cell_length_c 17.1307
_cell_angle_alpha 90.00
_cell_angle_beta 90.00
_cell_angle_gamma 90.00
loop_
_atom_site_label
_atom_site_type_symbol
_atom_site_fract_x
_atom_site_fract_y
_atom_site_fract_z
Cs1 Cs 0.0000 0.0000 0.0000
Cs2 Cs 0.5000 0.5000 0.4445
Cd1 Cd 0.5000 0.5000 0.1852
Cd2 Cd 0.5000 0.5000 0.6280
Cd3 Cd 0.5000 0.5000 0.7978
O1 O 0.0000 0.0000 0.5778
O2 O 0.0000 0.0000 0.7587
O3 O 0.5000 0.5000 0.3015
O4 O 0.5000 0.5000 0.9210
```

Results
Its crystal system is tetragonal. As for the relative energy among the computed polymorphs: 733.8 meV per atom.

---

Cs2CdOsO6 | PBE-GGA | optimized geometry

Structure (CIF):
```
data_Cs2CdOsO6
_space_group_name_H-M_alt 'F m -3 m'
_space_group_IT_number 225
_space_group_name_Hall '-F 4 2 3'
_cell_length_a 8.4467
_cell_length_b 8.4467
_cell_length_c 8.4467
_cell_angle_alpha 90.00
_cell_angle_beta 90.00
_cell_angle_gamma 90.00
loop_
_atom_site_label
_atom_site_type_symbol
_atom_site_fract_x
_atom_site_fract_y
_atom_site_fract_z
Cs1 Cs 0.2500 0.2500 0.2500
Cd1 Cd 0.0000 0.0000 0.0000
Os1 Os 0.0000 0.0000 0.5000
O1 O 0.0000 0.0000 0.2778
```

Results
The uncorrected energy comes out at -220.8 eV/cell. Its crystal system is cubic.

---

CsCdP3O9 | PBE-GGA | optimized geometry

Structure (CIF):
```
data_CsCdP3O9
_space_group_name_H-M_alt 'P n m a'
_space_group_IT_number 62
_space_group_name_Hall '-P 2ac 2n'
_cell_length_a 9.3279
_cell_length_b 7.5072
_cell_length_c 12.6671
_cell_angle_alpha 90.00
_cell_angle_beta 90.00
_cell_angle_gamma 90.00
loop_
_atom_site_label
_atom_site_type_symbol
_atom_site_fract_x
_atom_site_fract_y
_atom_site_fract_z
Cs1 Cs 0.1247 0.2500 0.0835
Cd1 Cd 0.0171 0.7500 0.2172
P1 P 0.1953 0.2500 0.5395
P2 P 0.2457 0.0516 0.3512
O1 O 0.0866 0.2500 0.6243
O2 O 0.1213 0.0528 0.8742
O3 O 0.1430 0.5090 0.2684
O4 O 0.1469 0.7500 0.0620
O5 O 0.1593 0.0838 0.4603
O6 O 0.2006 0.7500 0.8189
```

Results
The uncorrected energy comes out at -367.4 eV/cell. Its crystal system is orthorhombic.

---

Cs2CdP2O7 | PBE-GGA | optimized geometry

Structure (CIF):
```
data_Cs2CdP2O7
_space_group_name_H-M_alt 'P n m a'
_space_group_IT_number 62
_space_group_name_Hall '-P 2ac 2n'
_cell_length_a 16.0766
_cell_length_b 5.5057
_cell_length_c 9.9484
_cell_angle_alpha 90.00
_cell_angle_beta 90.00
_cell_angle_gamma 90.00
loop_
_atom_site_label
_atom_site_type_symbol
_atom_site_fract_x
_atom_site_fract_y
_atom_site_fract_z
Cs1 Cs 0.0796 0.2500 0.1466
Cs2 Cs 0.1085 0.7500 0.5361
Cd1 Cd 0.1892 0.7500 0.8922
P1 P 0.0856 0.2500 0.7635
P2 P 0.2308 0.7500 0.2347
O1 O 0.0202 0.2500 0.6547
O2 O 0.0867 0.0192 0.8496
O3 O 0.1743 0.2500 0.6757
O4 O 0.1755 0.7500 0.1101
O5 O 0.2180 0.5198 0.3187
```

Results
The uncorrected energy comes out at -294.5 eV/cell. Its crystal system is orthorhombic.

---

CsPrCdO3 | PBE-GGA | optimized geometry

Structure (CIF):
```
data_CsPrCdO3
_space_group_name_H-M_alt 'C m c m'
_space_group_IT_number 63
_space_group_name_Hall '-C 2c 2'
_cell_length_a 3.7671
_cell_length_b 14.2254
_cell_length_c 9.5879
_cell_angle_alpha 90.00
_cell_angle_beta 90.00
_cell_angle_gamma 90.00
loop_
_atom_site_label
_atom_site_type_symbol
_atom_site_fract_x
_atom_site_fract_y
_atom_site_fract_z
Cs1 Cs 0.0000 0.1960 0.2500
Pr1 Pr 0.0000 0.5000 0.0000
Cd1 Cd 0.0000 0.0809 0.7500
O1 O 0.0000 0.1066 0.5328
O2 O 0.0000 0.4777 0.7500
```

Results
The uncorrected energy comes out at -132.2 eV/cell. Its crystal system is orthorhombic.

---

CsScCdO3 | PBE-GGA | optimized geometry

Structure (CIF):
```
data_CsScCdO3
_space_group_name_H-M_alt 'C m c m'
_space_group_IT_number 63
_space_group_name_Hall '-C 2c 2'
_cell_length_a 3.4090
_cell_length_b 14.4430
_cell_length_c 8.8973
_cell_angle_alpha 90.00
_cell_angle_beta 90.00
_cell_angle_gamma 90.00
loop_
_atom_site_label
_atom_site_type_symbol
_atom_site_fract_x
_atom_site_fract_y
_atom_site_fract_z
Cs1 Cs 0.0000 0.1917 0.2500
Sc1 Sc 0.0000 0.5000 0.0000
Cd1 Cd 0.0000 0.0871 0.7500
O1 O 0.0000 0.0946 0.5157
O2 O 0.0000 0.4809 0.7500
```

Results
The uncorrected energy comes out at -138.9 eV/cell. Its crystal system is orthorhombic.

---

Cs2Cd3Sn2O8 | PBE-GGA | optimized geometry

Structure (CIF):
```
data_Cs2Cd3Sn2O8
_space_group_name_H-M_alt 'P -1'
_space_group_IT_number 2
_space_group_name_Hall '-P 1'
_cell_length_a 5.6826
_cell_length_b 7.1040
_cell_length_c 8.2237
_cell_angle_alpha 73.59
_cell_angle_beta 83.82
_cell_angle_gamma 68.22
loop_
_atom_site_label
_atom_site_type_symbol
_atom_site_fract_x
_atom_site_fract_y
_atom_site_fract_z
Cs1 Cs 0.1230 0.0282 0.2726
Cd1 Cd 0.3566 0.3968 0.4102
Cd2 Cd 0.5000 0.5000 0.0000
Sn1 Sn 0.2083 0.3267 0.7885
O1 O 0.1620 0.6190 0.1816
O2 O 0.2586 0.5875 0.6388
O3 O 0.3214 0.1503 0.6252
O4 O 0.3852 0.2444 0.0030
```

Results
The uncorrected energy comes out at -70.4 eV/cell. Its crystal system is triclinic.

---

CsTmCdO3 | PBE-GGA | optimized geometry

Structure (CIF):
```
data_CsTmCdO3
_space_group_name_H-M_alt 'C m c m'
_space_group_IT_number 63
_space_group_name_Hall '-C 2c 2'
_cell_length_a 3.5657
_cell_length_b 14.2846
_cell_length_c 9.1421
_cell_angle_alpha 90.00
_cell_angle_beta 90.00
_cell_angle_gamma 90.00
loop_
_atom_site_label
_atom_site_type_symbol
_atom_site_fract_x
_atom_site_fract_y
_atom_site_fract_z
Cs1 Cs 0.0000 0.1948 0.2500
Tm1 Tm 0.0000 0.5000 0.0000
Cd1 Cd 0.0000 0.0856 0.7500
O1 O 0.0000 0.0999 0.5220
O2 O 0.0000 0.4808 0.7500
```

Results
The uncorrected energy comes out at -133.9 eV/cell. Its crystal system is orthorhombic.

---

CsCdOs | PBE-GGA | optimized geometry

Structure (CIF):
```
data_CsCdOs
_space_group_name_H-M_alt 'F -4 3 m'
_space_group_IT_number 216
_space_group_name_Hall 'F -4 2 3'
_cell_length_a 7.0001
_cell_length_b 7.0001
_cell_length_c 7.0001
_cell_angle_alpha 90.00
_cell_angle_beta 90.00
_cell_angle_gamma 90.00
loop_
_atom_site_label
_atom_site_type_symbol
_atom_site_fract_x
_atom_site_fract_y
_atom_site_fract_z
Cs1 Cs 0.0000 0.0000 0.0000
Cd1 Cd 0.0000 0.0000 0.5000
Os1 Os 0.2500 0.2500 0.7500
```

Results
The uncorrected energy comes out at -31.9 eV/cell. Its crystal system is cubic.

---

CsCd4P3 | PBE-GGA | optimized geometry

Structure (CIF):
```
data_CsCd4P3
_space_group_name_H-M_alt 'R -3 m'
_space_group_IT_number 166
_space_group_name_Hall '-R 3 2"'
_cell_length_a 4.4000
_cell_length_b 4.4000
_cell_length_c 36.7423
_cell_angle_alpha 90.00
_cell_angle_beta 90.00
_cell_angle_gamma 120.00
loop_
_atom_site_label
_atom_site_type_symbol
_atom_site_fract_x
_atom_site_fract_y
_atom_site_fract_z
Cs1 Cs 0.0000 0.0000 0.0000
Cd1 Cd 0.0000 0.0000 0.1960
Cd2 Cd 0.0000 0.0000 0.4147
P1 P 0.0000 0.0000 0.2660
P2 P 0.0000 0.0000 0.5000
```

Results
The uncorrected energy comes out at -66.4 eV/cell. Its crystal system is trigonal.

---

Cs2SrCdP2 | PBE-GGA | optimized geometry

Structure (CIF):
```
data_Cs2SrCdP2
_space_group_name_H-M_alt 'P -4 m 2'
_space_group_IT_number 115
_space_group_name_Hall 'P -4 -2'
_cell_length_a 4.6224
_cell_length_b 4.6224
_cell_length_c 9.1176
_cell_angle_alpha 90.00
_cell_angle_beta 90.00
_cell_angle_gamma 90.00
loop_
_atom_site_label
_atom_site_type_symbol
_atom_site_fract_x
_atom_site_fract_y
_atom_site_fract_z
Cs1 Cs 0.0000 0.5000 0.1433
Sr1 Sr 0.5000 0.5000 0.5000
Cd1 Cd 0.0000 0.0000 0.5000
P1 P 0.0000 0.5000 0.6882
```

Results
The uncorrected energy comes out at -18.1 eV/cell. Its crystal system is tetragonal.

---

CsPaCd | PBE-GGA | optimized geometry

Structure (CIF):
```
data_CsPaCd
_space_group_name_H-M_alt 'F -4 3 m'
_space_group_IT_number 216
_space_group_name_Hall 'F -4 2 3'
_cell_length_a 7.3399
_cell_length_b 7.3399
_cell_length_c 7.3399
_cell_angle_alpha 90.00
_cell_angle_beta 90.00
_cell_angle_gamma 90.00
loop_
_atom_site_label
_atom_site_type_symbol
_atom_site_fract_x
_atom_site_fract_y
_atom_site_fract_z
Cs1 Cs 0.0000 0.0000 0.0000
Pa1 Pa 0.2500 0.2500 0.2500
Cd1 Cd 0.2500 0.2500 0.7500
```

Results
Its crystal system is cubic. As for the relative energy among the computed polymorphs: 252.9 meV per atom.